# ScSnTeBr2 PBEsol optimized geometry
data_ScSnTeBr2
_chemical_formula_sum 'Sc1 Sn1 Te1 Br2'
_cell_length_a 5.370
_cell_length_b 5.370
_cell_length_c 5.957
_cell_angle_alpha 90.00
_cell_angle_beta 90.00
_cell_angle_gamma 90.00
_symmetry_space_group_name_H-M 'P 1'
_symmetry_Int_Tables_number 1
loop_
_symmetry_equiv_pos_as_xyz
'x,y,z'
loop_
_atom_site_label
_atom_site_type_symbol
_atom_site_fract_x
_atom_site_fract_y
_atom_site_fract_z
Te1 Te 0.000 0.000 0.500
Sc1 Sc 0.500 0.500 0.500
Br1 Br 0.000 0.500 0.000
Br2 Br 0.500 0.000 0.000
Sn1 Sn 0.000 0.000 0.000
# final energy: -18.5 eV for the cell shown